Entry from Alexandria: a relaxed structure of K2CoMoF6 (GGA+U).

Cell lengths 6.068, 8.604, 6.074 Å; angles 90.00, 90.00, 90.00 degrees
Fractional coordinates of all 20 atoms:
K 0.250 0.000 0.250
K 0.250 0.500 0.250
K 0.750 0.000 0.750
K 0.750 0.500 0.750
Co 0.250 0.250 0.750
Co 0.750 0.750 0.250
Mo 0.250 0.750 0.749
Mo 0.750 0.250 0.251
F 0.006 0.750 0.505
F 0.006 0.750 0.994
F 0.250 0.506 0.750
F 0.250 0.994 0.750
F 0.494 0.750 0.505
F 0.494 0.750 0.994
F 0.506 0.250 0.006
F 0.506 0.250 0.495
F 0.750 0.006 0.250
F 0.750 0.494 0.250
F 0.994 0.250 0.006
F 0.994 0.250 0.495

symmetry = Pmmn
raw total energy = -0.1813 Ha/atom